# Ac2NiHgO6 | Alexandria via LeMat-Bulk | GGA+U | relaxed
# Total energy: -5.95 eV/atom
# Total moment: 0.10 Bohr magnetons per cell
# Crystal system: monoclinic
data_Ac2NiHgO6
_space_group_name_H-M_alt 'P 1 21/c 1'
_space_group_IT_number 14
_space_group_name_Hall '-P 2ybc'
_cell_length_a 5.803
_cell_length_b 6.005
_cell_length_c 10.062
_cell_angle_alpha 90.00
_cell_angle_beta 124.91
_cell_angle_gamma 90.00
loop_
_atom_site_label
_atom_site_type_symbol
_atom_site_fract_x
_atom_site_fract_y
_atom_site_fract_z
Ac1 Ac 0.237 0.055 0.249
Ni1 Ni 0.000 0.000 0.500
Hg1 Hg 0.500 0.000 0.000
O1 O 0.137 0.220 0.948
O2 O 0.234 0.689 0.954
O3 O 0.324 0.029 0.734